(1)
A geometry-optimized Li2AcMgGa4 structure, computed with PBE-GGA.

- E: -73.06 eV for the cell shown
- Density: 5.40 g cm⁻³
- ΔE_f: -0.340 eV per atom

a b c (Å): 4.4628 4.4628 29.1057
angles (deg): 90.00 90.00 120.00
Space group R-3m (No. 166, hexagonal axes)
Unique sites:
1 Li 0.0000 0.0000 0.2267 x6
2 Ac 0.0000 0.0000 0.0000 x3
3 Mg 0.0000 0.0000 0.5000 x3
4 Ga 0.0000 0.0000 0.1155 x6
5 Ga 0.0000 0.0000 0.4047 x6

***

(2)
A geometry-optimized LiAcMgGa2 structure, computed with PBE-GGA.

- E: -31.27 eV for the cell shown
- Density: 5.55 g cm⁻³
- ΔE_f: -0.393 eV per atom

a b c (Å): 4.538 4.538 11.550
angles (deg): 90.00 90.00 90.00
Space group I-4m2 (No. 119)
Unique sites:
1 Li 0.000 0.000 0.000 x2
2 Ac 0.000 0.500 0.750 x2
3 Mg 0.000 0.000 0.500 x2
4 Ga 0.000 0.500 0.141 x4